First-principles (PBE) data for a geometry-optimized MoAs2WSe structure, as listed in the Alexandria database.

Cell lengths 4.884, 4.884, 4.931 Å; angles 90.00, 90.00, 90.00 degrees
Element x y z (fractional)
Mo 0.000 0.000 0.000
As 0.000 0.500 0.500
As 0.500 0.000 0.500
W 0.500 0.500 0.500
Se 0.500 0.500 0.000

## Properties
Total energy = -6.25 eV per atom
Formation energy (no corrections) = 1060 meV per atom



First-principles (PBE) data for a geometry-optimized PuTa2Ti structure, as listed in the Alexandria database.

Cell lengths 3.264, 3.264, 7.194 Å; angles 90.00, 90.00, 90.00 degrees
Element x y z (fractional)
Pu 0.000 0.000 0.000
Ta 0.500 0.500 0.276
Ta 0.500 0.500 0.724
Ti 0.000 0.000 0.500

## Properties
Total energy = -11.22 eV per atom
E_form = 0.26 eV per atom



First-principles (PBE) data for a geometry-optimized NpVP structure, as listed in the Alexandria database.

Cell lengths 4.142, 4.142, 3.481 Å; angles 90.00, 90.00, 120.00 degrees
Element x y z (fractional)
Np 0.000 0.000 0.000
V 0.667 0.333 0.500
P 0.333 0.667 0.500

## Properties
Total energy = -9.51 eV per atom
E_form = -0.36 eV per atom



Which value of total energy does entry 1 give?
-6.25 eV per atom



What is the formula in the third record?
NpVP



Copy entry 1 word for word.
First-principles (PBE) data for a geometry-optimized MoAs2WSe structure, as listed in the Alexandria database.

Cell lengths 4.884, 4.884, 4.931 Å; angles 90.00, 90.00, 90.00 degrees
Element x y z (fractional)
Mo 0.000 0.000 0.000
As 0.000 0.500 0.500
As 0.500 0.000 0.500
W 0.500 0.500 0.500
Se 0.500 0.500 0.000

## Properties
Total energy = -6.25 eV per atom
Formation energy (no corrections) = 1060 meV per atom